{"formula": "KAg3N", "functional": "GGA-PBE", "state": "relaxed", "cell": [[4.661, 0.000, 0.000], [0.000, 4.661, 0.000], [0.000, 0.000, 4.661]], "species": ["K", "Ag", "Ag", "Ag", "N"], "frac_coords": [[0.000, 0.000, 0.000], [0.000, 0.500, 0.500], [0.500, 0.000, 0.500], [0.500, 0.500, 0.000], [0.500, 0.500, 0.500]], "e_form_raw_mev_per_atom": 535, "final_energy_ev_per_atom": -3.06}